(i)
# VBSb2I

A relaxed structure of VBSb2I (PBE, the Alexandria database).

Cell: 5.0545 5.0545 5.7867 Å, 90.00 90.00 90.00°
Closest atoms and distances in Å follow each position.
Fractional coordinates of all 5 atoms:
I 0.0000 0.0000 0.5000  2 V 2.89
Sb 0.0000 0.5000 0.0000  2 V 2.53
Sb 0.5000 0.0000 0.0000  2 V 2.53
B 0.5000 0.5000 0.5000  4 I 3.57, 8 Sb 3.84
V 0.0000 0.0000 0.0000  4 Sb 2.53

Summary:
N(E_F) = 5.3 states/eV/f.u.

(ii)
# VBSb2I

A relaxed structure of VBSb2I (PBE, the Alexandria database).

Cell: 4.7454 4.7454 5.1713 Å, 90.00 90.00 90.00°
Closest atoms and distances in Å follow each position.
Fractional coordinates of all 5 atoms:
I 0.0000 0.0000 0.5000  2 B 2.59
Sb 0.0000 0.5000 0.0000  2 B 2.37
Sb 0.5000 0.0000 0.0000  2 B 2.37
B 0.0000 0.0000 0.0000  4 Sb 2.37, 2 I 2.59
V 0.5000 0.5000 0.5000  4 I 3.36, 8 Sb 3.51

Summary:
N(E_F) = 4.1 states/eV/f.u.

Going by the energies, (ii) is most stable and the next is 0.166 eV/atom up.

(i)
# VBSbI2

A relaxed structure of VBSbI2 (PBE, the Alexandria database).

Cell: 4.8861 4.8861 4.8877 Å, 90.00 90.00 90.00°
Closest atoms and distances in Å follow each position.
Fractional coordinates of all 5 atoms:
I 0.0000 0.5000 0.0000  2 B 2.44
I 0.5000 0.0000 0.0000  2 B 2.44
Sb 0.0000 0.0000 0.5000  2 B 2.44
B 0.0000 0.0000 0.0000  4 I 2.44, 2 Sb 2.44
V 0.5000 0.5000 0.5000  4 Sb 3.45, 8 I 3.46

Summary:
N(E_F) = 12.3 states/eV/f.u.

(ii)
# VBSbI2

A relaxed structure of VBSbI2 (PBE, the Alexandria database).

Cell: 5.4855 5.4855 5.2484 Å, 90.00 90.00 90.00°
Closest atoms and distances in Å follow each position.
Fractional coordinates of all 5 atoms:
I 0.0000 0.5000 0.0000  2 V 2.74
I 0.5000 0.0000 0.0000  2 V 2.74
Sb 0.0000 0.0000 0.5000  2 V 2.62
B 0.5000 0.5000 0.5000  8 I 3.80, 4 Sb 3.88
V 0.0000 0.0000 0.0000  2 Sb 2.62, 4 I 2.74

Summary:
N(E_F) = 4.5 states/eV/f.u.

Going by the energies, (ii) is most stable and the next is 0.202 eV/atom up.

(i)
# BSb2WI

A relaxed structure of BSb2WI (PBE, the Alexandria database).

Cell: 5.1687 5.1687 5.9268 Å, 90.00 90.00 90.00°
Closest atoms and distances in Å follow each position.
Fractional coordinates of all 5 atoms:
I 0.0000 0.0000 0.5000  2 W 2.96
Sb 0.0000 0.5000 0.0000  2 W 2.58
Sb 0.5000 0.0000 0.0000  2 W 2.58
B 0.5000 0.5000 0.5000  4 I 3.65, 8 Sb 3.93
W 0.0000 0.0000 0.0000  4 Sb 2.58

Summary:
N(E_F) = 4.3 states/eV/f.u.

(ii)
# BSb2WI

A relaxed structure of BSb2WI (PBE, the Alexandria database).

Cell: 4.7219 4.7219 4.8563 Å, 90.00 90.00 90.00°
Closest atoms and distances in Å follow each position.
Fractional coordinates of all 5 atoms:
I 0.0000 0.0000 0.5000  2 B 2.43
Sb 0.0000 0.5000 0.0000  2 B 2.36
Sb 0.5000 0.0000 0.0000  2 B 2.36
B 0.0000 0.0000 0.0000  4 Sb 2.36, 2 I 2.43
W 0.5000 0.5000 0.5000  4 I 3.34, 8 Sb 3.39

Summary:
N(E_F) = 3.4 states/eV/f.u.

Going by the energies, (ii) is most stable and the next is 0.033 eV/atom up.

(i)
# YBSb2I

A relaxed structure of YBSb2I (PBE, the Alexandria database).

Cell: 5.8694 5.8694 5.9176 Å, 90.00 90.00 90.00°
Closest atoms and distances in Å follow each position.
Fractional coordinates of all 5 atoms:
I 0.0000 0.0000 0.5000  2 Y 2.96
Sb 0.0000 0.5000 0.0000  2 Y 2.93
Sb 0.5000 0.0000 0.0000  2 Y 2.93
B 0.5000 0.5000 0.5000  4 I 4.15, 8 Sb 4.17
Y 0.0000 0.0000 0.0000  4 Sb 2.93, 2 I 2.96

Summary:
N(E_F) = 5.1 states/eV/f.u.

(ii)
# YBSb2I

A relaxed structure of YBSb2I (PBE, the Alexandria database).

Cell: 4.8444 4.8444 5.3931 Å, 90.00 90.00 90.00°
Closest atoms and distances in Å follow each position.
Fractional coordinates of all 5 atoms:
I 0.0000 0.0000 0.5000  2 B 2.70
Sb 0.0000 0.5000 0.0000  2 B 2.42
Sb 0.5000 0.0000 0.0000  2 B 2.42
B 0.0000 0.0000 0.0000  4 Sb 2.42, 2 I 2.70
Y 0.5000 0.5000 0.5000  4 I 3.43, 8 Sb 3.62

Summary:
N(E_F) = 4.1 states/eV/f.u.

Going by the energies, (ii) is most stable and the next is 0.714 eV/atom up.